(1)
VASP calculation (PBE-GGA) on crystalline ThVH2 at its relaxed geometry. Values from VASP.

space-group type = R-3m (166)
VASP energy = -5.76 eV per atom

```
&SYSTEM
  ibrav = 0, nat = 4, ntyp = 3
/
ATOMIC_SPECIES
Th 232.04 Th.upf
V 50.94 V.upf
H 1.01 H.upf
CELL_PARAMETERS angstrom
1.555 0.898 5.761
-1.555 0.898 5.761
0.000 -1.796 5.761
ATOMIC_POSITIONS angstrom
Th 0.000 0.000 0.000
V 0.000 0.000 8.642
H 0.000 0.000 3.672
H 0.000 0.000 13.611
```


(2)
VASP calculation (PBE-GGA) on crystalline ZnCu2HgRu at its relaxed geometry. Values from VASP.

formation enthalpy at 0 K = 1398 meV/atom
space-group type = P4/mmm (123)
E above lowest polymorph = 27.7 kJ/mol of atoms
VASP energy = -2.41 eV per atom

```
&SYSTEM
  ibrav = 0, nat = 5, ntyp = 4
/
ATOMIC_SPECIES
Zn 65.41 Zn.upf
Cu 63.55 Cu.upf
Hg 200.59 Hg.upf
Ru 101.07 Ru.upf
CELL_PARAMETERS angstrom
4.732 0.000 0.000
0.000 4.732 0.000
0.000 0.000 4.797
ATOMIC_POSITIONS angstrom
Zn 0.000 0.000 0.000
Cu 0.000 2.366 2.398
Cu 2.366 0.000 2.398
Hg 0.000 0.000 2.398
Ru 2.366 2.366 0.000
```


no.,D(E_F) (states/eV per atom),volume (Å³/atom)
1,0.939,12.07
2,0.830,21.48